Record 1
Density functional theory data (GGA-PBEsol) for crystalline CrNi at its relaxed geometry.

Cell lengths 2.406, 2.406, 7.366 Å; angles 90.00, 90.00, 90.00 degrees
Fractional coordinates of all 4 atoms:
Cr 0.250 0.250 0.137
Cr 0.750 0.750 0.863
Ni 0.250 0.250 0.624
Ni 0.750 0.750 0.376

Its symmetry is P4/nmm. Its calculated formation energy is 0.024 eV per atom. As for the density of states at the Fermi level: 1.980 states/eV/f.u. The spin magnetization is 0.0003 μB/atom.

Record 2
Density functional theory data (GGA-PBEsol) for crystalline Rb2CoP4H8O16 at its relaxed geometry.

Cell lengths 6.959, 7.347, 7.623 Å; angles 81.14, 72.00, 86.64 degrees
Fractional coordinates of all 31 atoms:
Rb 0.096 0.222 0.300
Rb 0.904 0.778 0.700
Co 0.500 0.000 0.500
P 0.243 0.300 0.758
P 0.342 0.761 0.239
P 0.658 0.239 0.761
P 0.757 0.700 0.242
H 0.081 0.766 0.077
H 0.264 0.531 0.473
H 0.378 0.812 0.849
H 0.382 0.675 0.700
H 0.618 0.325 0.300
H 0.622 0.188 0.151
H 0.736 0.469 0.527
H 0.919 0.234 0.923
O 0.056 0.285 0.935
O 0.250 0.154 0.637
O 0.253 0.567 0.333
O 0.263 0.828 0.074
O 0.268 0.497 0.654
O 0.307 0.890 0.383
O 0.419 0.266 0.858
O 0.440 0.790 0.717
O 0.560 0.210 0.283
O 0.581 0.734 0.142
O 0.693 0.110 0.617
O 0.732 0.503 0.346
O 0.737 0.172 0.926
O 0.747 0.433 0.667
O 0.750 0.846 0.363
O 0.944 0.715 0.065

Its symmetry is P-1. As for the density of states at the Fermi level: 1.919 states/eV/f.u. The spin magnetization is 0.0968 μB/atom.

Record 3
Density functional theory data (GGA-PBEsol) for crystalline KAu2Cl at its relaxed geometry.

Cell lengths 5.035, 5.035, 5.035 Å; angles 60.00, 60.00, 60.00 degrees
Fractional coordinates of all 4 atoms:
K 0.000 0.000 0.000
Au 0.250 0.250 0.250
Au 0.750 0.750 0.750
Cl 0.500 0.500 0.500

Its symmetry is Fm-3m. The raw formation energy is 0.30 eV per atom. As for the density of states at the Fermi level: 1.922 states/eV/f.u. The spin magnetization is 0.0000 μB/atom.

What did we get for total energy? Answer: -8.18, -6.34, -2.44 eV per atom, in the order shown.